Record 1
This record from Alexandria describes an optimized crystal structure of TbHoErTh. The functional is PBE.

Unit cell a=5.6471 b=5.6471 c=5.6471 alpha=60.00 beta=60.00 gamma=60.00
Closest atoms and distances in Å follow each position.
Positions (direct):
Th  0.2500  0.2500  0.2500  4 Ho 3.46, 4 Er 3.46
Ho  0.0000  0.0000  0.0000  4 Th 3.46, 4 Tb 3.46
Tb  0.7500  0.7500  0.7500  4 Ho 3.46, 4 Er 3.46
Er  0.5000  0.5000  0.5000  4 Tb 3.46, 4 Th 3.46

ΔE to the lowest computed polymorph (kcal/mol of atoms): 3.13
Total magnetization (μB/cell): 0.00
Formation energy from the elements (eV/atom): 0.14
Energy (eV/atom): -5.1570

=====

Record 2
This record from Alexandria describes an optimized crystal structure of Tm8GaNi2. The functional is PBE.

Unit cell a=4.9347 b=6.6972 c=8.9156 alpha=107.26 beta=106.07 gamma=90.00
Closest atoms and distances in Å follow each position.
Positions (direct):
Ni  0.8189  0.2901  0.6378  3 Tm 2.65-2.67
Tm  0.6769  0.9847  0.3538  1 Ni 2.65
Ga  0.5000  0.0000  0.0000  8 Tm 3.03-3.07
Tm  0.0364  0.7817  0.0727  1 Ni 2.67
Tm  0.4044  0.5287  0.8088  2 Ni 3.06, 1 Ga 3.07, 7 Tm 3.29-3.42
Tm  0.3231  0.0153  0.6462  1 Ni 2.65
Tm  0.9636  0.2183  0.9273  1 Ni 2.67
Ni  0.1811  0.7099  0.3622  3 Tm 2.65-2.67
Tm  0.1985  0.3280  0.3970  1 Ni 2.67
Tm  0.5956  0.4713  0.1912  2 Ni 3.06, 1 Ga 3.07, 7 Tm 3.29-3.42
Tm  0.8015  0.6720  0.6030  1 Ni 2.67

ΔE to the lowest computed polymorph (kcal/mol of atoms): 0.00
Total magnetization (μB/cell): 0.00
Formation energy from the elements (eV/atom): -0.29
Energy (eV/atom): -4.8685

=====

Record 3
This record from Alexandria describes an optimized crystal structure of Pr2InB3Pt12. The functional is PBE.

Unit cell a=7.5300 b=7.5300 c=7.5300 alpha=63.97 beta=63.97 gamma=63.97
Closest atoms and distances in Å follow each position.
Positions (direct):
Pt  0.3219  0.3219  0.9118  2 B 2.15
Pt  0.3987  0.8710  0.8710  1 B 2.14
Pt  0.8710  0.8710  0.3987  1 B 2.14
Pt  0.9118  0.3219  0.3219  2 B 2.15
Pt  0.0882  0.6781  0.6781  2 B 2.15
Pt  0.1290  0.1290  0.6013  1 B 2.14
Pt  0.1290  0.6013  0.1290  1 B 2.14
Pt  0.6781  0.6781  0.0882  2 B 2.15
Pt  0.6781  0.0882  0.6781  2 B 2.15
B  0.0000  0.0000  0.5000  6 Pt 2.14-2.15
Pt  0.6013  0.1290  0.1290  1 B 2.14
Pr  0.3988  0.3988  0.3988  6 Pt 2.96-3.09
Pt  0.8710  0.3987  0.8710  1 B 2.14
Pr  0.6012  0.6012  0.6012  6 Pt 2.96-3.09
B  0.0000  0.5000  0.0000  6 Pt 2.14-2.15
Pt  0.3219  0.9118  0.3219  2 B 2.15
B  0.5000  0.0000  0.0000  6 Pt 2.14-2.15
In  0.0000  0.0000  0.0000  6 Pt 2.57

Total magnetization (μB/cell): 0.00
Formation energy from the elements (eV/atom): -0.40
Energy (eV/atom): -6.2202

=====

Record 4
This record from Alexandria describes an optimized crystal structure of KP2Au. The functional is PBE.

Unit cell a=3.1083 b=3.1080 c=8.7426 alpha=90.00 beta=90.00 gamma=90.00
Closest atoms and distances in Å follow each position.
Positions (direct):
P  0.0000  0.0000  0.0641  4 P 2.40
P  0.5000  0.5000  0.1749  4 P 2.40
K  0.5000  0.5000  0.7737  4 K 3.11, 4 Au 3.33, 4 P 3.36
Au  0.0000  0.0000  0.4874  4 Au 3.11, 4 K 3.33

ΔE to the lowest computed polymorph (kcal/mol of atoms): 10.92
Total magnetization (μB/cell): 0.00
Formation energy from the elements (eV/atom): 0.15
Energy (eV/atom): -3.6481

=====

Record 5
This record from Alexandria describes an optimized crystal structure of NaSiAu2Se4. The functional is PBE.

Unit cell a=6.8355 b=6.5549 c=6.5549 alpha=87.82 beta=58.57 gamma=58.57
Closest atoms and distances in Å follow each position.
Positions (direct):
Na  0.0000  0.0000  0.0000  4 Se 3.08
Se  0.4083  0.1453  0.4260  1 Si 2.31, 1 Au 2.52
Si  0.0000  0.5000  0.5000  4 Se 2.31
Au  0.5000  0.3443  0.6557  2 Se 2.52
Se  0.9796  0.8547  0.5740  1 Si 2.31, 1 Au 2.52
Se  0.5917  0.5740  0.8547  1 Si 2.31, 1 Au 2.52
Au  0.5000  0.6557  0.3443  2 Se 2.52
Se  0.0204  0.4260  0.1453  1 Si 2.31, 1 Au 2.52

Total magnetization (μB/cell): 0.00
Formation energy from raw total energies (eV per atom): -0.393
Energy (eV/atom): -3.7976

=====

Record 6
This record from Alexandria describes an optimized crystal structure of Ge2Pb2I. The functional is PBE.

Unit cell a=4.0530 b=4.0530 c=9.5990 alpha=77.81 beta=77.81 gamma=90.00
Closest atoms and distances in Å follow each position.
Positions (direct):
Pb  0.6236  0.6236  0.7528  4 Ge 3.08
Pb  0.3764  0.3764  0.2472  4 Ge 3.08
Ge  0.7500  0.2500  0.5000  4 Ge 2.87, 4 Pb 3.08
I  0.0000  0.0000  0.0000  8 Pb 3.65, 4 I 4.05
Ge  0.2500  0.7500  0.5000  4 Ge 2.87, 4 Pb 3.08

ΔE to the lowest computed polymorph (kcal/mol of atoms): 0.00
Total magnetization (μB/cell): 0.00
Formation energy from raw total energies (eV per atom): -0.033
Energy (eV/atom): -3.6734

=====

Record 7
This record from Alexandria describes an optimized crystal structure of BN. The functional is PBE.

Unit cell a=4.1824 b=4.1824 c=4.1824 alpha=34.96 beta=34.96 gamma=34.96
Closest atoms and distances in Å follow each position.
Positions (direct):
B  0.9996  0.9996  0.9996  3 N 1.45
N  0.3329  0.3329  0.3329  3 B 1.45

ΔE to the lowest computed polymorph (kcal/mol of atoms): 0.00
Total magnetization (μB/cell): 0.00
Formation energy from raw total energies (eV per atom): -1.286
Energy (eV/atom): -8.7876

=====

Record 8
This record from Alexandria describes an optimized crystal structure of Pa2Si2Os. The functional is PBE.

Unit cell a=3.7361 b=5.5843 c=5.5843 alpha=62.13 beta=70.46 gamma=70.46
Closest atoms and distances in Å follow each position.
Positions (direct):
Pa  0.2267  0.2733  0.2733  6 Si 2.93-2.99, 2 Os 3.05
Os  0.0000  0.0000  0.0000  4 Si 2.51
Si  0.5000  0.2906  0.7094  1 Si 2.41, 2 Os 2.51
Si  0.5000  0.7094  0.2906  1 Si 2.41, 2 Os 2.51
Pa  0.7733  0.7267  0.7267  6 Si 2.93-2.99, 2 Os 3.05

ΔE to the lowest computed polymorph (kcal/mol of atoms): 0.00
Total magnetization (μB/cell): 0.00
Formation energy from raw total energies (eV per atom): -0.648
Energy (eV/atom): -8.8617